# MnF (PBE+U, optimized geometry)
# **Energy above the lowest structure with this stoichiometry**: 0.212 eV per atom
# **Calculated total energy**: -0.2203 hartree per atom
data_MnF
_symmetry_space_group_name_H-M 'P 42/m n m'
_symmetry_Int_Tables_number 136
_symmetry_space_group_name_Hall '-P 4n 2n'
_cell_length_a 7.533
_cell_length_b 7.533
_cell_length_c 3.186
_cell_angle_alpha 90.00
_cell_angle_beta 90.00
_cell_angle_gamma 90.00
loop_
_atom_site_label
_atom_site_type_symbol
_atom_site_fract_x
_atom_site_fract_y
_atom_site_fract_z
_atom_site_occupancy
Mn1 Mn 0.127 0.127 0.000 1
F1 F 0.246 0.754 0.000 1